Record 1
DFT (PBE) results for an optimized crystal structure of InH2Br3.

Summary:
The total moment comes out at 0.333 μB per atom. The value obtained for the volume is 318 Å³ per cell. Its total energy is -2.1419 eV per atom.

Unit cell a=5.4893 b=7.8125 c=7.9000 alpha=90.00 beta=110.23 gamma=90.00
With the nearest neighbours (Å) after each atom.
Space group P2_1/m (No. 11)
Inequivalent atoms, fractional coordinates:
In1 0.0017 0.2500 0.9998  6 Br 2.72-2.75
H1 0.2898 0.2500 0.5859  2 H 3.02, 3 Br 3.08-3.13
H2 0.2952 0.7500 0.5853  2 H 3.02, 3 Br 3.07-3.13
Br1 0.1270 0.0000 0.2553  2 In 2.72
Br2 0.4988 0.7500 0.9991  2 In 2.74-2.75


Record 2
DFT (PBE) results for an optimized crystal structure of CaLaBe2Mo.

Summary:
The total moment comes out at 0.000 μB per atom. The value obtained for the volume is 112 Å³ per cell. For the formation energy, the calculation gives 2.1172 eV per atom.

Unit cell a=4.5991 b=4.5991 c=5.3127 alpha=90.00 beta=90.00 gamma=90.00
With the nearest neighbours (Å) after each atom.
Space group P4/mmm (No. 123)
Inequivalent atoms, fractional coordinates:
Ca1 0.0000 0.0000 0.0000  4 Be 2.30
La1 0.0000 0.0000 0.5000  2 Ca 2.66
Be1 0.0000 0.5000 0.0000  2 Ca 2.30
Mo1 0.5000 0.5000 0.5000  4 La 3.25, 8 Be 3.51


Record 3
DFT (PBE) results for an optimized crystal structure of PmU2WC4.

Summary:
The total moment comes out at 0.196 μB per atom. The value obtained for the volume is 499 Å³ per cell. For the formation energy, the calculation gives 0.0094 eV per atom.

Unit cell a=3.6427 b=11.7256 c=11.6909 alpha=90.00 beta=90.00 gamma=90.00
With the nearest neighbours (Å) after each atom.
Space group Cmcm (No. 63)
Inequivalent atoms, fractional coordinates:
Pm1 0.0000 0.1235 0.2500  6 C 2.79-2.80, 1 W 3.09
U1 0.0000 0.3731 0.0424  6 C 2.34-2.56
W1 0.0000 0.1399 0.7500  4 C 2.04-2.06
C1 0.0000 0.0000 0.0000  4 U 2.40
C2 0.0000 0.2542 0.6179  1 W 2.04
C3 0.0000 0.4419 0.2500  2 W 2.06


Record 4
DFT (PBE) results for an optimized crystal structure of NaRuRh.

Summary:
The total moment comes out at 0.000 μB per atom. For the energy relative to the lowest polymorph listed for this composition, the calculation gives 128 meV per atom. The value obtained for the volume is 101 Å³ per cell. For the formation energy, the calculation gives 0.4203 eV per atom.

Unit cell a=4.6088 b=4.6371 c=5.4435 alpha=69.29 beta=69.00 gamma=77.70
With the nearest neighbours (Å) after each atom.
Space group P1 (No. 1)
Inequivalent atoms, fractional coordinates:
Na1 0.0000 0.0000 0.0000  1 Na 2.39
Na2 0.3798 0.3613 0.8195  1 Na 2.39
Ru1 0.3959 0.9577 0.4110  1 Ru 2.39, 3 Rh 2.47-2.67
Ru2 0.5478 0.5607 0.1917  1 Ru 2.39, 2 Rh 2.48-2.63
Rh1 0.8076 0.8105 0.6447  3 Ru 2.50-2.69, 2 Rh 2.57-2.69
Rh2 0.9781 0.3908 0.4002  3 Ru 2.47-2.63, 2 Rh 2.57-2.69


Record 5
DFT (PBE) results for an optimized crystal structure of LiBSb3.

Summary:
The total moment comes out at 0.000 μB per atom. The energy relative to the elements, uncorrected is 1172 meV/atom. For the energy relative to the lowest polymorph listed for this composition, the calculation gives 608 meV per atom. The value obtained for the volume is 120 Å³ per cell.

Unit cell a=4.9364 b=4.9364 c=4.9364 alpha=90.00 beta=90.00 gamma=90.00
With the nearest neighbours (Å) after each atom.
Space group Pm-3m (No. 221)
Inequivalent atoms, fractional coordinates:
Li1 0.0000 0.0000 0.0000  6 Sb 2.47
B1 0.5000 0.5000 0.5000  12 Sb 3.49
Sb1 0.0000 0.0000 0.5000  2 Li 2.47


Record 6
DFT (PBE) results for an optimized crystal structure of ZrGeSe2.

Summary:
The total moment comes out at 0.000 μB per atom. The energy relative to the elements, uncorrected is -687 meV/atom. The value obtained for the volume is 306 Å³ per cell.

Unit cell a=3.6307 b=3.6307 c=26.8110 alpha=90.00 beta=90.00 gamma=120.00
With the nearest neighbours (Å) after each atom.
Space group R-3m (No. 166, hexagonal axes)
Inequivalent atoms, fractional coordinates:
Zr1 0.0000 0.0000 0.0000  6 Se 2.70
Ge1 0.0000 0.0000 0.5000  2 Se 2.77
Se1 0.0000 0.0000 0.3966  3 Zr 2.70, 1 Ge 2.77


Record 7
DFT (PBE) results for an optimized crystal structure of HgAsP2O.

Summary:
The total moment comes out at 0.000 μB per atom. The energy relative to the elements, uncorrected is 399 meV/atom. For the energy relative to the lowest polymorph listed for this composition, the calculation gives 0 meV per atom. The value obtained for the volume is 89 Å³ per cell.

Unit cell a=4.9355 b=4.9355 c=3.6633 alpha=90.00 beta=90.00 gamma=90.00
With the nearest neighbours (Å) after each atom.
Space group P4/mmm (No. 123)
Inequivalent atoms, fractional coordinates:
Hg1 0.0000 0.0000 0.0000  8 P 3.07
As1 0.5000 0.5000 0.5000  2 O 1.83
P1 0.0000 0.5000 0.5000  2 As 2.47
O1 0.5000 0.5000 0.0000  2 As 1.83


Record 8
DFT (PBE) results for an optimized crystal structure of InAsP2.

Summary:
The total moment comes out at 0.000 μB per atom. For the energy relative to the lowest polymorph listed for this composition, the calculation gives 510 meV per atom. The value obtained for the volume is 296 Å³ per cell. For the formation energy, the calculation gives 0.5738 eV per atom.

Unit cell a=6.6631 b=6.6631 c=6.6631 alpha=90.00 beta=90.00 gamma=90.00
With the nearest neighbours (Å) after each atom.
Space group F-43m (No. 216)
Inequivalent atoms, fractional coordinates:
In1 0.0000 0.0000 0.0000  4 As 2.89, 4 P 2.89
As1 0.2500 0.2500 0.7500  4 In 2.89, 4 P 2.89
P1 0.0000 0.0000 0.5000  4 As 2.89, 4 P 2.89
P2 0.2500 0.2500 0.2500  4 In 2.89, 4 P 2.89


Record 9
DFT (PBE) results for an optimized crystal structure of NaErGa2.

Summary:
The total moment comes out at 0.000 μB per atom. For the energy relative to the lowest polymorph listed for this composition, the calculation gives 25 meV per atom. The value obtained for the volume is 349 Å³ per cell. For the formation energy, the calculation gives -0.2785 eV per atom.

Unit cell a=7.0396 b=7.0396 c=7.0396 alpha=90.00 beta=90.00 gamma=90.00
With the nearest neighbours (Å) after each atom.
Space group Fm-3m (No. 225)
Inequivalent atoms, fractional coordinates:
Na1 0.0000 0.0000 0.0000  8 Ga 3.05
Er1 0.0000 0.0000 0.5000  8 Ga 3.05
Ga1 0.2500 0.2500 0.2500  4 Na 3.05, 4 Er 3.05


Record 10
DFT (PBE) results for an optimized crystal structure of Mg3CrN.

Summary:
The total moment comes out at 0.896 μB per atom. The energy relative to the elements, uncorrected is 1794 meV/atom. For the energy relative to the lowest polymorph listed for this composition, the calculation gives 1724 meV per atom. The value obtained for the volume is 132 Å³ per cell.

Unit cell a=5.0913 b=5.0913 c=5.0913 alpha=90.00 beta=90.00 gamma=90.00
With the nearest neighbours (Å) after each atom.
Space group Pm-3m (No. 221)
Inequivalent atoms, fractional coordinates:
Mg1 0.0000 0.0000 0.5000  2 Cr 2.55
Cr1 0.0000 0.0000 0.0000  6 Mg 2.55
N1 0.5000 0.5000 0.5000  12 Mg 3.60


Record 11
DFT (PBE) results for an optimized crystal structure of ThGePt2.

Summary:
The total moment comes out at 0.000 μB per atom. The value obtained for the volume is 250 Å³ per cell. For the formation energy, the calculation gives -0.8150 eV per atom.

Unit cell a=5.0980 b=5.0980 c=11.1167 alpha=90.00 beta=90.00 gamma=120.00
With the nearest neighbours (Å) after each atom.
Space group R-3m (No. 166, hexagonal axes)
Inequivalent atoms, fractional coordinates:
Th1 0.0000 0.0000 0.0000  8 Pt 3.02-3.05
Ge1 0.0000 0.0000 0.5000  2 Pt 2.51
Pt1 0.0000 0.0000 0.2741  1 Ge 2.51


Record 12
DFT (PBE) results for an optimized crystal structure of Cs3Bi2Sb2.

Summary:
The total moment comes out at 0.000 μB per atom. The energy relative to the elements, uncorrected is -303 meV/atom. The value obtained for the volume is 742 Å³ per cell.

Unit cell a=14.0226 b=4.5954 c=12.6260 alpha=90.00 beta=114.22 gamma=90.00
With the nearest neighbours (Å) after each atom.
Space group C2/m (No. 12)
Inequivalent atoms, fractional coordinates:
Cs1 0.0000 0.0000 0.0000  6 Sb 3.87-4.05
Cs2 0.0946 0.5000 0.6837  2 Sb 3.85, 3 Bi 4.04-4.20, 1 Cs 4.30
Bi1 0.1801 0.0000 0.4383  2 Bi 3.01
Sb1 0.2391 0.5000 0.0635  2 Sb 2.89


Question: Number 3 is which compound?
Answer: PmU2WC4


Question: total moment of number 3 (PmU2WC4)?
Answer: 0.196 μB per atom


Question: What is the formula in the fifth record?
Answer: LiBSb3